Record 1
A plane-wave DFT calculation with PBE was carried out for a geometry-optimized YP2Br structure.

Summary:
Electronic total energy: -5.420 eV/atom
Uncorrected formation energy: -2.72 eV/f.u.
Relative energy among the computed polymorphs: 0.224 eV/atom

a b c (Å): 3.893 3.908 6.159
angles (deg): 90.00 90.00 90.00
Element x y z (fractional)
Y 0.000 0.000 0.000
P 0.500 0.500 0.173
P 0.500 0.500 0.827
Br 0.000 0.000 0.500

---

Record 2
A plane-wave DFT calculation with PBE was carried out for a geometry-optimized Rb2PmF6 structure.

Summary:
Electronic total energy: -5.036 eV/atom
Uncorrected formation energy: -27.41 eV/f.u.

a b c (Å): 7.517 7.517 4.139
angles (deg): 102.58 102.58 52.85
Element x y z (fractional)
Rb 0.169 0.169 0.164
Rb 0.831 0.831 0.836
Pm 0.500 0.500 0.500
F 0.146 0.577 0.358
F 0.306 0.694 0.000
F 0.423 0.854 0.642
F 0.577 0.146 0.358
F 0.694 0.306 0.000
F 0.854 0.423 0.642

---

Record 3
A plane-wave DFT calculation with PBE was carried out for a geometry-optimized Pa2Al9Pt3 structure.

Summary:
Formation energy: -14.75 kcal/mol of atoms
Electronic total energy: -5.697 eV/atom

a b c (Å): 7.650 7.650 10.645
angles (deg): 111.08 111.08 59.86
Element x y z (fractional)
Pa 0.085 0.252 0.250
Pa 0.252 0.085 0.750
Pa 0.748 0.915 0.250
Pa 0.915 0.748 0.750
Al 0.024 0.857 0.071
Al 0.143 0.976 0.429
Al 0.190 0.357 0.570
Al 0.210 0.583 0.251
Al 0.312 0.479 0.937
Al 0.357 0.190 0.070
Al 0.375 0.625 0.750
Al 0.417 0.790 0.249
Al 0.479 0.312 0.437
Al 0.521 0.688 0.563
Al 0.583 0.210 0.751
Al 0.625 0.375 0.250
Al 0.643 0.810 0.930
Al 0.688 0.521 0.063
Al 0.790 0.417 0.749
Al 0.810 0.643 0.430
Al 0.857 0.024 0.571
Al 0.976 0.143 0.929
Pt 0.000 0.500 0.000
Pt 0.165 0.669 0.501
Pt 0.331 0.835 0.999
Pt 0.500 0.000 0.500
Pt 0.669 0.165 0.001
Pt 0.835 0.331 0.499

---

Record 4
A plane-wave DFT calculation with PBE was carried out for a geometry-optimized BaAuNO2 structure.

Summary:
Electronic total energy: -5.005 eV/atom
Uncorrected formation energy: -1.58 eV/f.u.

a b c (Å): 4.455 4.455 3.888
angles (deg): 90.00 90.00 90.00
Element x y z (fractional)
Ba 0.000 0.000 0.000
Au 0.500 0.500 0.500
N 0.500 0.500 0.000
O 0.000 0.500 0.500
O 0.500 0.000 0.500

---

Record 5
A plane-wave DFT calculation with PBE was carried out for a geometry-optimized NiOsPd2Pt structure.

Summary:
Formation energy: 42.42 kcal/mol of atoms
Electronic total energy: -4.848 eV/atom

a b c (Å): 4.894 4.894 4.669
angles (deg): 90.00 90.00 90.00
Element x y z (fractional)
Ni 0.000 0.000 0.000
Os 0.500 0.500 0.000
Pd 0.000 0.500 0.500
Pd 0.500 0.000 0.500
Pt 0.500 0.500 0.500

---

Record 6
A plane-wave DFT calculation with PBE was carried out for a geometry-optimized Cr2CoIr2 structure.

Summary:
Formation energy: 3.12 kcal/mol of atoms
Electronic total energy: -8.680 eV/atom
Relative energy among the computed polymorphs: 0.000 eV/atom

a b c (Å): 7.186 7.186 2.671
angles (deg): 90.00 90.00 90.00
Element x y z (fractional)
Cr 0.166 0.334 0.000
Cr 0.334 0.834 0.000
Cr 0.666 0.166 0.000
Cr 0.834 0.666 0.000
Co 0.000 0.000 0.500
Co 0.500 0.500 0.500
Ir 0.132 0.632 0.500
Ir 0.368 0.132 0.500
Ir 0.632 0.868 0.500
Ir 0.868 0.368 0.500

---

Record 7
A plane-wave DFT calculation with PBE was carried out for a geometry-optimized DyHo3Co structure.

Summary:
Formation energy: -0.62 kcal/mol of atoms
Electronic total energy: -5.115 eV/atom
Relative energy among the computed polymorphs: 0.026 eV/atom

a b c (Å): 7.732 7.231 9.959
angles (deg): 90.00 107.39 90.00
Element x y z (fractional)
Dy 0.188 0.055 0.257
Dy 0.188 0.445 0.757
Dy 0.812 0.555 0.243
Dy 0.812 0.945 0.743
Ho 0.083 0.704 0.032
Ho 0.083 0.796 0.532
Ho 0.290 0.508 0.382
Ho 0.290 0.992 0.882
Ho 0.416 0.128 0.608
Ho 0.416 0.372 0.108
Ho 0.584 0.628 0.892
Ho 0.584 0.872 0.392
Ho 0.710 0.008 0.118
Ho 0.710 0.492 0.618
Ho 0.917 0.204 0.468
Ho 0.917 0.296 0.968
Co 0.455 0.746 0.608
Co 0.455 0.754 0.108
Co 0.545 0.246 0.892
Co 0.545 0.254 0.392

---

Record 8
A plane-wave DFT calculation with PBE was carried out for a geometry-optimized BTeHRhAu structure.

Summary:
Electronic total energy: -4.643 eV/atom
Relative energy among the computed polymorphs: 0.044 eV/atom

a b c (Å): 4.676 4.676 6.209
angles (deg): 106.85 106.85 43.79
Element x y z (fractional)
B 0.000 0.000 0.000
Te 0.514 0.514 0.537
H 0.145 0.145 0.110
Rh 0.856 0.856 0.688
Au 0.374 0.374 0.066

---

Record 9
A plane-wave DFT calculation with PBE was carried out for a geometry-optimized LaAlPb structure.

Summary:
Formation energy: -5.67 kcal/mol of atoms
Electronic total energy: -4.372 eV/atom

a b c (Å): 6.442 6.442 6.442
angles (deg): 148.68 143.35 48.96
Element x y z (fractional)
La 0.000 0.000 0.000
Al 0.674 0.674 0.000
Pb 0.298 0.298 0.000

---

Record 10
A plane-wave DFT calculation with PBE was carried out for a geometry-optimized PbSe2NCl structure.

Summary:
Electronic total energy: -2.889 eV/atom
Uncorrected formation energy: 6.40 eV/f.u.
Relative energy among the computed polymorphs: 0.093 eV/atom

a b c (Å): 5.760 5.760 4.690
angles (deg): 90.00 90.00 90.00
Element x y z (fractional)
Pb 0.000 0.000 0.000
Se 0.000 0.500 0.500
Se 0.500 0.000 0.500
N 0.500 0.500 0.000
Cl 0.500 0.500 0.500

---

Record 11
A plane-wave DFT calculation with PBE was carried out for a geometry-optimized PmCuPtO5 structure.

Summary:
Electronic total energy: -6.321 eV/atom
Uncorrected formation energy: -10.89 eV/f.u.

a b c (Å): 5.690 5.690 7.190
angles (deg): 101.29 101.29 113.93
Element x y z (fractional)
Pm 0.161 0.839 0.750
Pm 0.839 0.161 0.250
Cu 0.177 0.823 0.250
Cu 0.823 0.177 0.750
Pt 0.500 0.500 0.000
Pt 0.500 0.500 0.500
O 0.121 0.206 0.951
O 0.206 0.121 0.451
O 0.213 0.617 0.419
O 0.383 0.787 0.081
O 0.412 0.588 0.750
O 0.588 0.412 0.250
O 0.617 0.213 0.919
O 0.787 0.383 0.581
O 0.794 0.879 0.549
O 0.879 0.794 0.049

---

Record 12
A plane-wave DFT calculation with PBE was carried out for a geometry-optimized BaNb2GeH structure.

Summary:
Electronic total energy: -4.928 eV/atom

a b c (Å): 5.201 5.201 3.747
angles (deg): 90.00 90.00 90.00
Element x y z (fractional)
Ba 0.000 0.000 0.000
Nb 0.000 0.500 0.500
Nb 0.500 0.000 0.500
Ge 0.500 0.500 0.500
H 0.500 0.500 0.000

---

Record 13
A plane-wave DFT calculation with PBE was carried out for a geometry-optimized Tm3CoTe2 structure.

Summary:
Electronic total energy: -5.163 eV/atom
Uncorrected formation energy: -4.17 eV/f.u.
Relative energy among the computed polymorphs: 0.102 eV/atom

a b c (Å): 7.815 7.815 4.001
angles (deg): 90.00 90.00 135.81
Element x y z (fractional)
Tm 0.000 0.000 0.000
Tm 0.381 0.619 0.500
Tm 0.619 0.381 0.500
Co 0.500 0.500 0.000
Te 0.163 0.837 0.500
Te 0.837 0.163 0.500

---

Record 14
A plane-wave DFT calculation with PBE was carried out for a geometry-optimized HfSi3Ru structure.

Summary:
Electronic total energy: -5.642 eV/atom
Uncorrected formation energy: 7.29 eV/f.u.
Relative energy among the computed polymorphs: 0.930 eV/atom

a b c (Å): 4.928 4.928 4.928
angles (deg): 90.00 90.00 90.00
Element x y z (fractional)
Hf 0.000 0.000 0.000
Si 0.000 0.000 0.500
Si 0.000 0.500 0.000
Si 0.500 0.000 0.000
Ru 0.500 0.500 0.500

---

Record 15
A plane-wave DFT calculation with PBE was carried out for a geometry-optimized CsPdBr3 structure.

Summary:
Electronic total energy: -3.142 eV/atom
Uncorrected formation energy: -4.65 eV/f.u.

a b c (Å): 10.410 10.410 9.623
angles (deg): 117.47 117.47 89.62
Element x y z (fractional)
Cs 0.175 0.825 0.250
Cs 0.175 0.825 0.750
Cs 0.825 0.175 0.250
Cs 0.825 0.175 0.750
Pd 0.301 0.409 0.854
Pd 0.409 0.301 0.354
Pd 0.591 0.699 0.646
Pd 0.699 0.591 0.146
Br 0.073 0.499 0.786
Br 0.149 0.149 0.146
Br 0.149 0.149 0.646
Br 0.331 0.538 0.433
Br 0.462 0.669 0.067
Br 0.499 0.073 0.286
Br 0.501 0.927 0.714
Br 0.538 0.331 0.933
Br 0.669 0.462 0.567
Br 0.851 0.851 0.354
Br 0.851 0.851 0.854
Br 0.927 0.501 0.214

---

Record 16
A plane-wave DFT calculation with PBE was carried out for a geometry-optimized Si2SnCl8 structure.

Summary:
Electronic total energy: -3.557 eV/atom
Uncorrected formation energy: -9.51 eV/f.u.

a b c (Å): 7.808 7.808 8.868
angles (deg): 103.59 103.59 59.57
Element x y z (fractional)
Si 0.204 0.204 0.190
Si 0.796 0.796 0.810
Sn 0.000 0.000 0.500
Cl 0.067 0.643 0.727
Cl 0.160 0.160 0.952
Cl 0.357 0.933 0.273
Cl 0.359 0.359 0.272
Cl 0.641 0.641 0.728
Cl 0.643 0.067 0.727
Cl 0.840 0.840 0.048
Cl 0.933 0.357 0.273

---

Record 17
A plane-wave DFT calculation with PBE was carried out for a geometry-optimized Be3NiAg structure.

Summary:
Formation energy: 25.25 kcal/mol of atoms
Electronic total energy: -2.867 eV/atom
Relative energy among the computed polymorphs: 0.678 eV/atom

a b c (Å): 4.196 4.196 4.196
angles (deg): 90.00 90.00 90.00
Element x y z (fractional)
Be 0.000 0.000 0.500
Be 0.000 0.500 0.000
Be 0.500 0.000 0.000
Ni 0.500 0.500 0.500
Ag 0.000 0.000 0.000

---

Record 18
A plane-wave DFT calculation with PBE was carried out for a geometry-optimized PmSnH8Ir2 structure.

Summary:
Electronic total energy: -4.461 eV/atom

a b c (Å): 6.612 6.612 6.612
angles (deg): 43.32 43.32 43.32
Element x y z (fractional)
Pm 0.000 0.000 0.000
Sn 0.500 0.500 0.500
H 0.030 0.030 0.614
H 0.030 0.614 0.030
H 0.322 0.322 0.322
H 0.386 0.970 0.970
H 0.614 0.030 0.030
H 0.678 0.678 0.678
H 0.970 0.386 0.970
H 0.970 0.970 0.386
Ir 0.232 0.232 0.232
Ir 0.768 0.768 0.768

---

Record 19
A plane-wave DFT calculation with PBE was carried out for a geometry-optimized ScFe3Ag structure.

Summary:
Formation energy: 31.94 kcal/mol of atoms
Electronic total energy: -5.529 eV/atom
Relative energy among the computed polymorphs: 0.157 eV/atom

a b c (Å): 4.443 4.443 4.443
angles (deg): 90.00 90.00 90.00
Element x y z (fractional)
Sc 0.000 0.000 0.000
Fe 0.000 0.000 0.500
Fe 0.000 0.500 0.000
Fe 0.500 0.000 0.000
Ag 0.500 0.500 0.500

---

Record 20
A plane-wave DFT calculation with PBE was carried out for a geometry-optimized HfGaFe3 structure.

Summary:
Formation energy: 33.75 kcal/mol of atoms
Electronic total energy: -6.210 eV/atom
Relative energy among the computed polymorphs: 1.435 eV/atom

a b c (Å): 4.478 4.478 4.478
angles (deg): 90.00 90.00 90.00
Element x y z (fractional)
Hf 0.000 0.000 0.000
Ga 0.500 0.500 0.500
Fe 0.000 0.000 0.500
Fe 0.000 0.500 0.000
Fe 0.500 0.000 0.000

---

Record 21
A plane-wave DFT calculation with PBE was carried out for a geometry-optimized Y2FeH structure.

Summary:
Electronic total energy: -5.766 eV/atom
Relative energy among the computed polymorphs: 0.282 eV/atom

a b c (Å): 8.524 8.524 8.524
angles (deg): 22.38 22.38 22.38
Element x y z (fractional)
Y 0.109 0.109 0.109
Y 0.891 0.891 0.891
Fe 0.000 0.000 0.000
H 0.500 0.500 0.500

---

Record 22
A plane-wave DFT calculation with PBE was carried out for a geometry-optimized BiCF2 structure.

Summary:
Electronic total energy: -3.750 eV/atom
Uncorrected formation energy: 1.85 eV/f.u.
Relative energy among the computed polymorphs: 0.223 eV/atom

a b c (Å): 7.830 7.830 7.830
angles (deg): 23.42 23.42 23.42
Element x y z (fractional)
Bi 0.000 0.000 0.000
C 0.500 0.500 0.500
F 0.416 0.416 0.416
F 0.584 0.584 0.584

---

Record 23
A plane-wave DFT calculation with PBE was carried out for a geometry-optimized BeTe4Cl structure.

Summary:
Electronic total energy: -2.378 eV/atom
Uncorrected formation energy: 3.87 eV/f.u.

a b c (Å): 6.273 6.273 6.273
angles (deg): 60.00 60.00 60.00
Element x y z (fractional)
Be 0.000 0.000 0.000
Te 0.374 0.374 0.374
Te 0.374 0.374 0.877
Te 0.374 0.877 0.374
Te 0.877 0.374 0.374
Cl 0.750 0.750 0.750

---

Record 24
A plane-wave DFT calculation with PBE was carried out for a geometry-optimized CdGa2Tc structure.

Summary:
Formation energy: 1.23 kcal/mol of atoms
Electronic total energy: -4.280 eV/atom

a b c (Å): 9.152 9.152 9.152
angles (deg): 18.83 18.83 18.83
Element x y z (fractional)
Cd 0.000 0.000 0.000
Ga 0.240 0.240 0.240
Ga 0.760 0.760 0.760
Tc 0.500 0.500 0.500